{"formula": "Zr2Be12Ni5", "functional": "GGA-PBE", "state": "optimized geometry", "e_tot_ev_per_fu": -96.7, "delta_e_f_ev_per_atom": -0.3130, "magmom_total_mub_per_fu": 0.00, "lattice_angstrom": [[-1.0092, -5.3043, -2.2457], [-1.1327, -2.6857, 5.0696], [-5.8233, 0.4651, -0.2648]], "species": ["Zr", "Zr", "Be", "Be", "Be", "Be", "Be", "Be", "Be", "Be", "Be", "Be", "Be", "Be", "Ni", "Ni", "Ni", "Ni", "Ni"], "frac_coords": [[0.6590, 0.6590, 0.6590], [0.3410, 0.3410, 0.3410], [0.2852, 0.7148, 0.0000], [0.7148, 0.0000, 0.2852], [0.0000, 0.2852, 0.7148], [0.7148, 0.2852, 0.0000], [0.2852, 0.0000, 0.7148], [0.0000, 0.7148, 0.2852], [0.3419, 0.3419, 0.8450], [0.3419, 0.8450, 0.3419], [0.8450, 0.3419, 0.3419], [0.6581, 0.1550, 0.6581], [0.6581, 0.6581, 0.1550], [0.1550, 0.6581, 0.6581], [0.0000, 0.0000, 0.5000], [0.0000, 0.5000, 0.0000], [0.5000, 0.0000, 0.0000], [0.8989, 0.8989, 0.8989], [0.1011, 0.1011, 0.1011]]}